# 1
The following is a PBEsol calculation of a geometry-optimized TaCr2Sb structure, from Alexandria via LeMat-Bulk.

Geometry as POSCAR:
```
TaCr2Sb
1.0
3.243 0.000 0.000
0.000 4.284 0.000
0.000 0.000 4.284
Cr Sb Ta
2 1 1
Direct
0.000 0.500 0.000
0.000 0.000 0.500
0.500 0.500 0.500
0.500 0.000 0.000
```

Properties
**Magnetic moment**: 2.0 μB/f.u.
**Uncorrected energy**: -9.2928 eV/atom



# 2
The following is a PBEsol calculation of a geometry-optimized Cs2KInI6 structure, from Alexandria via LeMat-Bulk.

Geometry as POSCAR:
```
Cs2KInI6
1.0
8.708 0.000 0.000
4.354 7.541 0.000
4.354 2.514 7.110
I In Cs K
6 1 2 1
Direct
0.234 0.234 0.766
0.234 0.766 0.766
0.766 0.234 0.766
0.766 0.234 0.234
0.766 0.766 0.234
0.234 0.766 0.234
0.000 0.000 0.000
0.250 0.250 0.250
0.750 0.750 0.750
0.500 0.500 0.500
```

Properties
**Magnetic moment**: 0.0 μB/f.u.
**Uncorrected energy**: -2.7312 eV/atom